[1]
Material: Li2Sc2Zn15
Method: DFT, PBE
State: optimized geometry

a = 6.7101 Å, b = 6.7101 Å, c = 6.7101 Å
α = 83.04°, β = 83.04°, γ = 83.04°
Fractional positions:
Li (0.0997, 0.0997, 0.0997)
Li (0.9003, 0.9003, 0.9003)
Sc (0.3404, 0.3404, 0.3404)
Sc (0.6596, 0.6596, 0.6596)
Zn (0.5000, 0.0000, 0.0000)
Zn (0.0000, 0.0000, 0.5000)
Zn (0.0000, 0.5000, 0.0000)
Zn (0.0000, 0.6968, 0.3032)
Zn (0.6968, 0.3032, 0.0000)
Zn (0.3032, 0.0000, 0.6968)
Zn (0.3032, 0.6968, 0.0000)
Zn (0.6968, 0.0000, 0.3032)
Zn (0.0000, 0.3032, 0.6968)
Zn (0.1614, 0.6480, 0.6480)
Zn (0.6480, 0.6480, 0.1614)
Zn (0.6480, 0.1614, 0.6480)
Zn (0.8386, 0.3520, 0.3520)
Zn (0.3520, 0.3520, 0.8386)
Zn (0.3520, 0.8386, 0.3520)

Calculated values
calculated total energy: -2.070 eV per atom
formation enthalpy at 0 K: -196 meV per atom

***

[2]
Material: Sr2HfSe2O2
Method: DFT, PBE
State: optimized geometry

a = 4.2408 Å, b = 4.2408 Å, c = 8.5924 Å
α = 104.29°, β = 104.29°, γ = 90.00°
Fractional positions:
Sr (0.3732, 0.3732, 0.7464)
Sr (0.6268, 0.6268, 0.2536)
Hf (0.0000, 0.0000, 0.0000)
Se (0.1683, 0.1683, 0.3366)
Se (0.8317, 0.8317, 0.6634)
O (0.0000, 0.5000, 0.0000)
O (0.5000, 0.0000, 0.0000)

Calculated values
calculated total energy: -6.889 eV per atom
raw formation energy: -2.57 eV/atom

***

[3]
Material: Ac2MgAl
Method: DFT, PBE
State: optimized geometry

a = 3.6959 Å, b = 3.6959 Å, c = 12.5444 Å
α = 81.53°, β = 81.53°, γ = 60.00°
Fractional positions:
Mg (0.5000, 0.5000, 0.5000)
Ac (0.0897, 0.0897, 0.7309)
Ac (0.9103, 0.9103, 0.2691)
Al (0.0000, 0.0000, 0.0000)

Calculated values
calculated total energy: -2.996 eV per atom
formation enthalpy at 0 K: 392 meV per atom

***

[4]
Material: BaNiS
Method: DFT, PBE
State: optimized geometry

a = 4.5902 Å, b = 8.3883 Å, c = 4.1769 Å
α = 90.01°, β = 90.00°, γ = 74.14°
Fractional positions:
Ni (0.3526, 0.6524, 0.9224)
Ni (0.4405, 0.4771, 0.4222)
S (0.4853, 0.3871, 0.9220)
S (0.2171, 0.9238, 0.9217)
Ba (0.0649, 0.2280, 0.4217)
Ba (0.7918, 0.7742, 0.4218)

Calculated values
calculated total energy: -4.949 eV per atom
raw formation energy: -1.01 eV/atom

***

[5]
Material: TbSm2Sn3Rh4
Method: DFT, PBE
State: optimized geometry

a = 4.3930 Å, b = 4.3930 Å, c = 11.4954 Å
α = 90.00°, β = 90.00°, γ = 90.00°
Fractional positions:
Tb (0.5000, 0.5000, 0.5000)
Sm (0.5000, 0.0000, 0.2295)
Sm (0.0000, 0.5000, 0.7705)
Sn (0.0000, 0.0000, 0.5000)
Sn (0.5000, 0.0000, 0.8735)
Sn (0.0000, 0.5000, 0.1265)
Rh (0.5000, 0.5000, 0.0000)
Rh (0.0000, 0.0000, 0.0000)
Rh (0.5000, 0.0000, 0.6481)
Rh (0.0000, 0.5000, 0.3519)

Calculated values
calculated total energy: -6.281 eV per atom
formation enthalpy at 0 K: -732 meV per atom

***

[6]
Material: Ac2Y4Ge3O2
Method: DFT, PBE
State: optimized geometry

a = 4.6463 Å, b = 4.6463 Å, c = 12.8985 Å
α = 100.38°, β = 100.38°, γ = 90.00°
Last column: magnetic moment on the atom in μB.
Fractional positions:
Ac (0.3032, 0.3031, 0.6063)  0.12
Ac (0.6968, 0.6968, 0.3937)  0.12
Y (0.4228, 0.9228, 0.8456)  0.04
Y (0.9228, 0.4228, 0.8456)  0.04
Y (0.0772, 0.5772, 0.1544)  0.04
Y (0.5772, 0.0772, 0.1544)  0.04
Ge (0.0000, 0.0000, 0.0000)  -0.01
Ge (0.1647, 0.1647, 0.3295)  -0.01
Ge (0.8353, 0.8353, 0.6705)  -0.01
O (0.4121, 0.4121, 0.8242)  0.00
O (0.5879, 0.5879, 0.1758)  0.00

Calculated values
calculated total energy: -6.841 eV per atom
raw formation energy: -1.58 eV/atom

***

Record order is preserved below.
N(E_F): 0.36 0.00 0.84 0.22 0.75 0.63 states/eV/atom
Record order is preserved below.
Ρ: 6.1 6.2 5.7 4.9 9.2 6.5 Mg/m³